Run a
Compound: NbV2Ni2
Source: the Alexandria database
Functional: PBE
Structure: relaxed

Results
- Volume: 70 Å³ per cell
- Calculated density: 7.4 Mg/m³
- Size of the total moment: 0.00 μB per formula unit
- Space-group type: I4/mmm (139)

Cell lengths 3.544, 3.544, 6.083 Å; angles 73.06, 73.06, 90.00 degrees
Atoms (fractional coordinates):
Ni (0.400, 0.400, 0.201)
Ni (0.600, 0.600, 0.799)
V (0.250, 0.750, 0.500)
V (0.750, 0.250, 0.500)
Nb (0.000, 0.000, 0.000)



Run b
Compound: NbV2Ni2
Source: the Alexandria database
Functional: PBE
Structure: relaxed

Results
- Volume: 135 Å³ per cell
- Calculated density: 7.7 Mg/m³
- Size of the total moment: 0.00 μB per formula unit
- Space-group type: P4/mbm (127)

Cell lengths 7.255, 7.255, 2.559 Å; angles 90.00, 90.00, 90.00 degrees
Atoms (fractional coordinates):
Ni (0.623, 0.123, 0.000)
Ni (0.123, 0.377, 0.000)
V (0.329, 0.171, 0.500)
V (0.829, 0.329, 0.500)
V (0.171, 0.671, 0.500)
Nb (0.000, 0.000, 0.000)
Nb (0.500, 0.500, 0.000)
Ni (0.877, 0.623, 0.000)
Ni (0.377, 0.877, 0.000)
V (0.671, 0.829, 0.500)



Run c
Compound: NbV2Ni2
Source: the Alexandria database
Functional: PBE
Structure: relaxed

Results
- Volume: 70 Å³ per cell
- Calculated density: 7.4 Mg/m³
- Size of the total moment: 0.00 μB per formula unit
- Space-group type: I4/mmm (139)

Cell lengths 3.448, 3.448, 6.399 Å; angles 74.37, 74.37, 90.00 degrees
Atoms (fractional coordinates):
Ni (0.750, 0.250, 0.500)
V (0.606, 0.606, 0.789)
V (0.394, 0.394, 0.211)
Nb (0.000, 0.000, 0.000)
Ni (0.250, 0.750, 0.500)



Order of stability, best first: run b, run a, run c



Run a
Compound: NbV2Ni
Source: the Alexandria database
Functional: PBE
Structure: relaxed

Results
- Volume: 56 Å³ per cell
- Calculated density: 7.5 Mg/m³
- Size of the total moment: 0.00 μB per formula unit
- Space-group type: P4/mmm (123)

Cell lengths 3.156, 4.218, 4.218 Å; angles 90.00, 90.00, 90.00 degrees
Atoms (fractional coordinates):
Ni (0.500, 0.500, 0.500)
Nb (0.500, 0.000, 0.000)
V (0.000, 0.000, 0.500)
V (0.000, 0.500, 0.000)



Run b
Compound: NbV2Ni
Source: the Alexandria database
Functional: PBE
Structure: relaxed

Results
- Volume: 56 Å³ per cell
- Calculated density: 7.5 Mg/m³
- Size of the total moment: 0.00 μB per formula unit
- Space-group type: Fm-3m (225)

Cell lengths 4.292, 4.292, 4.292 Å; angles 60.00, 60.00, 60.00 degrees
Atoms (fractional coordinates):
V (0.750, 0.750, 0.750)
Ni (0.500, 0.500, 0.500)
V (0.250, 0.250, 0.250)
Nb (0.000, 0.000, 0.000)



Run c
Compound: NbV2Ni
Source: the Alexandria database
Functional: PBE
Structure: relaxed

Results
- Volume: 119 Å³ per cell
- Calculated density: 7.1 Mg/m³
- Size of the total moment: 0.00 μB per formula unit
- Space-group type: I-42d (122)

Cell lengths 6.845, 6.845, 5.467 Å; angles 51.24, 51.24, 90.00 degrees
Atoms (fractional coordinates):
V (0.375, 0.401, 0.750)
Ni (0.250, 0.750, 0.500)
Nb (0.750, 0.250, 0.500)
Nb (0.000, 0.000, 0.000)
V (0.599, 0.125, 0.250)
Ni (0.500, 0.500, 0.000)
V (0.875, 0.849, 0.750)
V (0.151, 0.625, 0.250)



Order of stability, best first: run a, run b, run c



Run a
Compound: Nb3VNi
Source: the Alexandria database
Functional: PBE
Structure: relaxed

Results
- Volume: 98 Å³ per cell
- Calculated density: 6.6 Mg/m³
- Size of the total moment: 2.20 μB per formula unit
- Space-group type: Pm-3m (221)

Cell lengths 4.615, 4.615, 4.615 Å; angles 90.00, 90.00, 90.00 degrees
Site moments in Bohr magnetons follow the coordinates.
Atoms (fractional coordinates):
Nb (0.500, 0.000, 0.000)  -0.13
Nb (0.000, 0.500, 0.000)  -0.13
Ni (0.000, 0.000, 0.000)  0.03
V (0.500, 0.500, 0.500)  2.12
Nb (0.000, 0.000, 0.500)  -0.13



Run b
Compound: Nb3VNi
Source: the Alexandria database
Functional: PBE
Structure: relaxed

Results
- Volume: 97 Å³ per cell
- Calculated density: 6.7 Mg/m³
- Size of the total moment: 0.02 μB per formula unit
- Space-group type: Pm-3m (221)

Cell lengths 4.591, 4.591, 4.591 Å; angles 90.00, 90.00, 90.00 degrees
Atoms (fractional coordinates):
V (0.000, 0.000, 0.000)
Ni (0.500, 0.500, 0.500)
Nb (0.000, 0.000, 0.500)
Nb (0.500, 0.000, 0.000)
Nb (0.000, 0.500, 0.000)



Order of stability, best first: run a, run b